Record 1
This record from OQMD describes a geometry-optimized BaTb2Al3Si2Pd structure. The functional is PBE.

The structure in CIF format:
```
data_BaTb2Al3Si2Pd
_cell_length_a 4.356
_cell_length_b 7.245
_cell_length_c 7.245
_cell_angle_alpha 121.13
_cell_angle_beta 90.00
_cell_angle_gamma 90.00
_symmetry_space_group_name_H-M 'P 1'
_symmetry_Int_Tables_number 1
loop_
_symmetry_equiv_pos_as_xyz
'x,y,z'
loop_
_atom_site_label
_atom_site_fract_x
_atom_site_fract_y
_atom_site_fract_z
Al1 0.500 0.785 0.785
Pd1 0.000 0.986 0.986
Ba1 0.000 0.424 0.424
Al2 0.500 0.986 0.233
Tb1 0.000 0.588 0.000
Si1 0.500 0.317 0.681
Tb2 0.000 0.000 0.588
Si2 0.500 0.681 0.317
Al3 0.500 0.233 0.986
```

Calculated values
total magnetization	0.01	μB/f.u.
space group	No. 38
energy	-4.852	eV/atom

***

Record 2
This record from OQMD describes a geometry-optimized Ba2AlSnPd4 structure. The functional is PBE.

The structure in CIF format:
```
data_Ba2AlSnPd4
_cell_length_a 4.573
_cell_length_b 4.573
_cell_length_c 11.222
_cell_angle_alpha 90.00
_cell_angle_beta 90.00
_cell_angle_gamma 120.00
_symmetry_space_group_name_H-M 'P 1'
_symmetry_Int_Tables_number 1
loop_
_symmetry_equiv_pos_as_xyz
'x,y,z'
loop_
_atom_site_label
_atom_site_fract_x
_atom_site_fract_y
_atom_site_fract_z
Ba1 0.667 0.333 0.747
Pd1 0.333 0.667 0.952
Ba2 0.333 0.667 0.253
Pd2 0.667 0.333 0.458
Al1 0.000 0.000 0.500
Sn1 0.000 0.000 0.000
Pd3 0.333 0.667 0.542
Pd4 0.667 0.333 0.048
```

Calculated values
space group	No. 164
energy	-4.721	eV/atom